AlPtSe | PBEsol | relaxed

a = 3.4536 Å, b = 3.4536 Å, c = 5.0480 Å
α = 90.00°, β = 90.00°, γ = 120.00°
Space group P3m1 (No. 156)
Inequivalent atoms, fractional coordinates:
Al 0.0000 0.0000 0.0000 [1 per cell]
Pt 0.6667 0.3333 0.7019 [1 per cell]
Se 0.3333 0.6667 0.3511 [1 per cell]

## Properties
E_form (uncorrected) (eV per atom): -0.36
Magnetization (μB/atom): 0.00
Crystal system: trigonal